Entry 1:
Material: Ho5Tm4In4
Method: DFT, PBE
State: relaxed Values from VASP.

```
&SYSTEM
  ibrav = 0, nat = 13, ntyp = 3
/
ATOMIC_SPECIES
In 114.82 In.upf
Ho 164.93 Ho.upf
Tm 168.93 Tm.upf
ATOMIC_POSITIONS crystal
In 0.2353 0.6576 0.8719
In 0.8929 0.8719 0.3424
In 0.1071 0.1281 0.6576
In 0.7647 0.3424 0.1281
Ho 0.4042 0.2826 0.9090
Ho 0.0000 0.0000 0.0000
Ho 0.3132 0.0910 0.2826
Ho 0.6868 0.9090 0.7174
Ho 0.5958 0.7174 0.0910
Tm 0.9027 0.4914 0.7033
Tm 0.6060 0.2967 0.4914
Tm 0.0973 0.5086 0.2967
Tm 0.3940 0.7033 0.5086
CELL_PARAMETERS angstrom
4.8741 0.0000 1.2393
2.4370 8.5526 0.6196
0.3296 0.0000 8.9085
```

Output
- total magnetization (Bohr magnetons per cell) = 0.00
- D(E_F) (states/eV per atom) = 0.8482
- ΔH_f (0 K) (eV per atom) = -0.32


Entry 2:
Material: Ba2CuAs
Method: DFT, PBE
State: relaxed Values from VASP.

```
&SYSTEM
  ibrav = 0, nat = 4, ntyp = 3
/
ATOMIC_SPECIES
Ba 137.33 Ba.upf
Cu 63.55 Cu.upf
As 74.92 As.upf
ATOMIC_POSITIONS crystal
Ba 0.5000 0.1254 0.3759
Ba 0.0000 0.1255 0.8747
Cu 0.0000 0.6237 0.3728
As 0.5000 0.6253 0.8765
CELL_PARAMETERS angstrom
-2.7897 2.9146 -3.8648
2.7236 -1.1677 -2.8465
-3.1165 -4.4946 -1.1400
```

Output
- total magnetization (Bohr magnetons per cell) = 0.00
- D(E_F) (states/eV per atom) = 0.3766
- ΔH_f (0 K) (eV per atom) = -0.49


Entry 3:
Material: Mg2AlPtCl
Method: DFT, PBE
State: relaxed Values from VASP.

```
&SYSTEM
  ibrav = 0, nat = 5, ntyp = 4
/
ATOMIC_SPECIES
Al 26.98 Al.upf
Cl 35.45 Cl.upf
Mg 24.30 Mg.upf
Pt 195.08 Pt.upf
ATOMIC_POSITIONS crystal
Al 0.0000 0.5000 0.0000
Cl 0.5000 0.5000 0.5000
Mg 0.0000 0.0000 0.5000
Mg 0.5000 0.0000 0.0000
Pt 0.0000 0.0000 0.0000
CELL_PARAMETERS angstrom
-2.9146 3.4572 -2.3978
-2.8135 -3.4867 -1.6073
-2.9239 0.4331 4.1785
```

Output
- total magnetization (Bohr magnetons per cell) = 0.00
- energy relative to the elements, uncorrected (eV/atom) = -0.563
- D(E_F) (states/eV per atom) = 0.3925


Entry 4:
Material: Li2PW
Method: DFT, PBE
State: relaxed Values from VASP.

```
&SYSTEM
  ibrav = 0, nat = 4, ntyp = 3
/
ATOMIC_SPECIES
W 183.84 W.upf
Li 6.94 Li.upf
P 30.97 P.upf
ATOMIC_POSITIONS crystal
W 0.5000 0.7049 0.7066
Li 0.5000 0.4520 0.2385
Li 0.0000 0.0657 0.0029
P 0.0000 0.2774 0.5520
CELL_PARAMETERS angstrom
3.3246 0.0000 0.0000
0.0000 3.1740 0.0437
0.0000 1.4179 5.6260
```

Output
- total magnetization (Bohr magnetons per cell) = 0.00
- D(E_F) (states/eV per atom) = 0.4785
- ΔH_f (0 K) (eV per atom) = -0.07